No. 1
Rb2TlCoNi: relaxed, GGA-PBE.

a = 6.824 Å, b = 5.098 Å, c = 6.824 Å
α = 90.00°, β = 90.00°, γ = 90.00°
Each line ends with the local moment (μB).
Sites, in units of the cell vectors:
Ni (0.500, 0.500, 0.500)  -1.01
Tl (0.000, 0.000, 0.000)  0.12
Co (0.000, 0.500, 0.000)  -1.69
Rb (0.000, 0.000, 0.500)  0.01
Rb (0.500, 0.000, 0.000)  0.01

Summary:
As for the volume: 47.484 A^3/atom. The calculation puts the electronic total energy at -2.30 eV per atom. For the spin magnetization, the calculation gives 2.3 Bohr magnetons per cell. For the formation energy, the calculation gives 5.7 eV per formula unit.

No. 2
SmTiAlPt3: relaxed, GGA-PBE.

a = 5.687 Å, b = 6.799 Å, c = 7.064 Å
α = 118.77°, β = 90.00°, γ = 90.00°
Sites, in units of the cell vectors:
Sm (0.750, 0.292, 0.584)
Sm (0.250, 0.708, 0.416)
Ti (0.250, 0.373, 0.747)
Ti (0.750, 0.627, 0.253)
Al (0.250, 0.960, 0.920)
Al (0.750, 0.040, 0.080)
Pt (0.250, 0.177, 0.355)
Pt (0.000, 0.288, 0.000)
Pt (0.500, 0.712, 0.000)
Pt (0.500, 0.288, 0.000)
Pt (0.000, 0.712, 0.000)
Pt (0.750, 0.823, 0.645)

Summary:
As for the volume: 19.954 A^3/atom. The calculation puts the electronic total energy at -6.44 eV per atom. For the spin magnetization, the calculation gives 0.0 Bohr magnetons per cell. For the formation energy, the calculation gives -4.2 eV per formula unit.

No. 3
Os2PtSe: relaxed, GGA-PBE.

a = 8.613 Å, b = 8.613 Å, c = 8.613 Å
α = 19.24°, β = 19.24°, γ = 19.24°
Sites, in units of the cell vectors:
Os (0.005, 0.005, 0.005)
Os (0.495, 0.495, 0.495)
Pt (0.250, 0.250, 0.250)
Se (0.750, 0.750, 0.750)

Summary:
As for the volume: 15.171 A^3/atom. The calculation puts the electronic total energy at -7.44 eV per atom. For the raw formation energy, the calculation gives 0.558 eV/atom. For the spin magnetization, the calculation gives 0.0 Bohr magnetons per cell.

No. 4
PIrOs3: relaxed, GGA-PBE.

a = 4.306 Å, b = 4.306 Å, c = 4.306 Å
α = 90.00°, β = 90.00°, γ = 90.00°
Sites, in units of the cell vectors:
P (0.000, 0.000, 0.000)
Ir (0.500, 0.500, 0.500)
Os (0.000, 0.500, 0.000)
Os (0.000, 0.000, 0.500)
Os (0.500, 0.000, 0.000)

Summary:
As for the volume: 15.974 A^3/atom. The calculation puts the electronic total energy at -8.45 eV per atom. For the energy above the most stable polymorph in this dataset, the calculation gives 0 meV/atom. For the spin magnetization, the calculation gives 0.0 Bohr magnetons per cell. For the formation energy, the calculation gives 5.7 eV per formula unit.

No. 5
Nd7Y2Tl2: relaxed, GGA-PBE.

a = 3.705 Å, b = 11.577 Å, c = 11.577 Å
α = 51.01°, β = 80.79°, γ = 80.79°
Sites, in units of the cell vectors:
Nd (0.838, 0.051, 0.273)
Nd (0.865, 0.397, 0.872)
Nd (0.500, 0.049, 0.951)
Nd (0.630, 0.457, 0.283)
Nd (0.370, 0.717, 0.543)
Nd (0.162, 0.727, 0.949)
Nd (0.135, 0.128, 0.603)
Y (0.000, 0.726, 0.274)
Y (0.500, 0.397, 0.603)
Tl (0.744, 0.859, 0.654)
Tl (0.256, 0.346, 0.141)

Summary:
As for the volume: 34.528 A^3/atom. The calculation puts the electronic total energy at -4.67 eV per atom. For the spin magnetization, the calculation gives 0.0 Bohr magnetons per cell. For the formation energy, the calculation gives -0.3 eV per formula unit.

No. 6
LaSiMo4: relaxed, GGA-PBE.

a = 5.418 Å, b = 5.418 Å, c = 5.418 Å
α = 60.00°, β = 60.00°, γ = 60.00°
Sites, in units of the cell vectors:
La (0.000, 0.000, 0.000)
Si (0.750, 0.750, 0.750)
Mo (0.873, 0.376, 0.376)
Mo (0.376, 0.376, 0.873)
Mo (0.376, 0.873, 0.376)
Mo (0.376, 0.376, 0.376)

Summary:
As for the volume: 18.739 A^3/atom. The calculation puts the electronic total energy at -8.50 eV per atom. For the raw formation energy, the calculation gives 0.449 eV/atom. For the spin magnetization, the calculation gives 0.0 Bohr magnetons per cell.

No. 7
CeYTmIn: relaxed, GGA-PBE.

a = 5.447 Å, b = 5.447 Å, c = 5.447 Å
α = 60.00°, β = 60.00°, γ = 60.00°
Each line ends with the local moment (μB).
Sites, in units of the cell vectors:
Y (0.500, 0.500, 0.500)  0.10
Tm (0.750, 0.750, 0.750)  0.24
Ce (0.000, 0.000, 0.000)  0.68
In (0.250, 0.250, 0.250)  -0.02

Summary:
As for the volume: 28.576 A^3/atom. The calculation puts the electronic total energy at -5.01 eV per atom. For the spin magnetization, the calculation gives 1.2 Bohr magnetons per cell. For the formation energy, the calculation gives -0.4 eV per formula unit.

No. 8
BaSr2TlSe4: relaxed, GGA-PBE.

a = 4.688 Å, b = 7.832 Å, c = 15.280 Å
α = 90.00°, β = 90.00°, γ = 107.41°
Sites, in units of the cell vectors:
Ba (0.128, 0.256, 0.750)
Ba (0.872, 0.744, 0.250)
Sr (0.374, 0.747, 0.552)
Sr (0.626, 0.253, 0.052)
Sr (0.626, 0.253, 0.448)
Sr (0.374, 0.747, 0.948)
Tl (0.866, 0.732, 0.750)
Tl (0.134, 0.268, 0.250)
Se (0.266, 0.532, 0.120)
Se (0.734, 0.468, 0.620)
Se (0.734, 0.468, 0.880)
Se (0.266, 0.532, 0.380)
Se (0.000, 0.000, 0.500)
Se (0.000, 0.000, 0.000)
Se (0.464, 0.929, 0.750)
Se (0.536, 0.071, 0.250)

Summary:
As for the volume: 33.455 A^3/atom. The calculation puts the electronic total energy at -4.19 eV per atom. For the raw formation energy, the calculation gives -1.494 eV/atom. For the spin magnetization, the calculation gives 0.0 Bohr magnetons per cell.

No. 9
Pm2ZnRhO6: relaxed, GGA-PBE.

a = 5.450 Å, b = 5.831 Å, c = 7.792 Å
α = 90.00°, β = 90.06°, γ = 90.00°
Each line ends with the local moment (μB).
Sites, in units of the cell vectors:
Pm (0.021, 0.927, 0.251)  0.00
Pm (0.521, 0.573, 0.751)  0.00
Pm (0.979, 0.073, 0.749)  0.00
Pm (0.479, 0.427, 0.249)  0.00
Zn (0.500, 0.000, 0.000)  0.01
Zn (0.000, 0.500, 0.500)  0.01
Rh (0.500, 0.000, 0.500)  0.56
Rh (0.000, 0.500, 0.000)  0.56
O (0.305, 0.691, 0.054)  0.05
O (0.805, 0.809, 0.554)  0.05
O (0.695, 0.309, 0.946)  0.05
O (0.195, 0.191, 0.446)  0.05
O (0.317, 0.703, 0.443)  0.06
O (0.817, 0.797, 0.943)  0.06
O (0.683, 0.297, 0.557)  0.06
O (0.183, 0.203, 0.057)  0.06
O (0.890, 0.536, 0.247)  0.06
O (0.390, 0.964, 0.747)  0.06
O (0.110, 0.464, 0.753)  0.06
O (0.610, 0.036, 0.253)  0.06

Summary:
As for the volume: 12.382 A^3/atom. The calculation puts the electronic total energy at -7.00 eV per atom. For the raw formation energy, the calculation gives -2.212 eV/atom. For the spin magnetization, the calculation gives 2.0 Bohr magnetons per cell.

No. 10
CrNiBr2Cl: relaxed, GGA-PBE.

a = 5.016 Å, b = 4.511 Å, c = 5.016 Å
α = 90.00°, β = 90.00°, γ = 90.00°
Each line ends with the local moment (μB).
Sites, in units of the cell vectors:
Ni (0.000, 0.000, 0.000)  -0.16
Cl (0.000, 0.500, 0.000)  0.01
Br (0.000, 0.000, 0.500)  -0.03
Br (0.500, 0.000, 0.000)  -0.03
Cr (0.500, 0.500, 0.500)  4.25

Summary:
As for the volume: 22.696 A^3/atom. The calculation puts the electronic total energy at -4.09 eV per atom. For the raw formation energy, the calculation gives 0.032 eV/atom. For the spin magnetization, the calculation gives 4.5 Bohr magnetons per cell.

No. 11
Sc2BrCl: relaxed, GGA-PBE.

a = 6.151 Å, b = 6.151 Å, c = 6.151 Å
α = 149.04°, β = 132.23°, γ = 58.02°
Sites, in units of the cell vectors:
Br (0.477, 0.477, 0.000)
Cl (0.782, 0.282, 0.500)
Sc (0.990, 0.990, 0.000)
Sc (0.252, 0.752, 0.500)

Summary:
As for the volume: 21.997 A^3/atom. The calculation puts the electronic total energy at -4.84 eV per atom. For the raw formation energy, the calculation gives -0.799 eV/atom. For the energy above the most stable polymorph in this dataset, the calculation gives 472 meV/atom. For the spin magnetization, the calculation gives 0.0 Bohr magnetons per cell.

No. 12
SrPt2O6: relaxed, GGA-PBE.

a = 5.325 Å, b = 5.325 Å, c = 5.365 Å
α = 90.00°, β = 90.00°, γ = 120.00°
Each line ends with the local moment (μB).
Sites, in units of the cell vectors:
Sr (0.000, 0.000, 0.000)  0.01
Pt (0.333, 0.667, 0.500)  0.38
Pt (0.667, 0.333, 0.500)  0.38
O (0.628, 0.000, 0.297)  0.16
O (0.372, 0.372, 0.297)  0.16
O (0.000, 0.628, 0.297)  0.16
O (0.628, 0.628, 0.703)  0.16
O (0.000, 0.372, 0.703)  0.16
O (0.372, 0.000, 0.703)  0.16

Summary:
As for the volume: 14.641 A^3/atom. The calculation puts the electronic total energy at -5.86 eV per atom. For the raw formation energy, the calculation gives -1.022 eV/atom. For the spin magnetization, the calculation gives 2.0 Bohr magnetons per cell.

What did the sixth record say?
LaSiMo4: relaxed, GGA-PBE.

a = 5.418 Å, b = 5.418 Å, c = 5.418 Å
α = 60.00°, β = 60.00°, γ = 60.00°
Sites, in units of the cell vectors:
La (0.000, 0.000, 0.000)
Si (0.750, 0.750, 0.750)
Mo (0.873, 0.376, 0.376)
Mo (0.376, 0.376, 0.873)
Mo (0.376, 0.873, 0.376)
Mo (0.376, 0.376, 0.376)

Summary:
As for the volume: 18.739 A^3/atom. The calculation puts the electronic total energy at -8.50 eV per atom. For the raw formation energy, the calculation gives 0.449 eV/atom. For the spin magnetization, the calculation gives 0.0 Bohr magnetons per cell.